Record 1
An optimized crystal structure of La5SbIr2, computed with PBE.

## Properties
Its energy relative to the elements, uncorrected is -795 meV/atom. Its crystal system is tetragonal.

```
La5SbIr2
1.0
-4.092 4.092 6.938
4.092 -4.092 6.938
4.092 4.092 -6.938
La Sb Ir
10 2 4
Cartesian
0.000 0.000 0.000
5.393 1.301 -1.863
1.301 2.791 -1.863
5.393 1.301 1.863
1.301 2.791 1.863
0.000 0.000 6.938
2.791 1.301 5.075
-1.301 2.791 5.075
2.791 1.301 8.801
-1.301 2.791 8.801
0.000 0.000 3.469
0.000 0.000 10.407
2.935 1.157 0.000
2.935 -1.157 6.938
1.157 5.249 0.000
1.157 2.935 6.938
```

---

Record 2
An optimized crystal structure of LaTmZnAg, computed with PBE.

## Properties
The energy of formation is -0.313 eV/atom. The calculation puts the energy above the most stable polymorph in this dataset at 0 meV/atom. Its crystal system is tetragonal.

```
LaTmZnAg
1.0
3.633 0.000 0.000
0.000 3.633 0.000
0.000 0.000 7.492
La Tm Zn Ag
1 1 1 1
Cartesian
0.000 0.000 0.000
0.000 0.000 3.635
1.816 1.816 2.003
1.816 1.816 5.287
```

---

Record 3
An optimized crystal structure of TbHo4Sb5, computed with PBE.

## Properties
Its energy relative to the elements, uncorrected is -1122 meV/atom. Its crystal system is tetragonal.

```
TbHo4Sb5
1.0
-2.187 2.187 15.461
2.187 -2.187 15.461
2.187 2.187 -15.461
Tb Ho Sb
1 4 5
Cartesian
0.000 0.000 0.000
0.000 0.000 6.192
0.000 0.000 12.367
0.000 0.000 18.555
0.000 0.000 24.730
0.000 0.000 3.107
0.000 0.000 9.278
0.000 0.000 15.461
0.000 0.000 21.644
0.000 0.000 27.815
```

---

Record 4
An optimized crystal structure of CoMoN, computed with PBE.

## Properties
Its energy relative to the elements, uncorrected is 136 meV/atom. The calculation puts the energy above the most stable polymorph in this dataset at 16 meV/atom. Its crystal system is monoclinic.

```
CoMoN
1.0
3.384 0.000 0.000
0.000 4.807 0.000
-0.089 0.000 4.387
Co Mo N
2 2 2
Cartesian
0.000 1.198 0.000
0.000 3.609 0.000
1.060 0.000 2.042
2.493 2.403 2.224
0.780 2.403 1.202
2.786 0.000 3.061
```

---

Record 5
An optimized crystal structure of NdDyN2, computed with PBE.

## Properties
Its energy relative to the elements, uncorrected is -1166 meV/atom. Its crystal system is trigonal.

```
NdDyN2
1.0
3.498 0.000 0.000
-1.749 3.029 0.000
0.000 0.000 6.163
Nd Dy N
1 1 2
Cartesian
0.000 0.000 0.000
0.000 0.000 3.082
0.000 2.020 4.557
1.749 1.010 1.606
```

---

Record 6
An optimized crystal structure of K2UInBr8, computed with PBE.

## Properties
Its energy relative to the elements, uncorrected is -1281 meV/atom. Its crystal system is triclinic.

```
K2UInBr8
1.0
7.010 0.000 0.000
0.435 7.464 0.000
0.009 0.010 9.625
K U In Br
2 1 1 8
Cartesian
0.444 7.465 2.370
7.011 0.009 7.255
3.728 3.737 4.812
3.723 3.732 0.000
2.013 6.060 9.620
2.285 6.080 4.817
2.153 2.747 6.824
2.145 2.750 2.805
5.310 4.724 6.820
5.303 4.726 2.801
5.170 1.393 4.808
5.442 1.413 0.005
```